An optimized crystal structure of V3ICl. Source: the Alexandria database, functional PBE-GGA.

CIF file:
```
data_V3ICl
_cell_length_a 5.298
_cell_length_b 5.298
_cell_length_c 5.298
_cell_angle_alpha 90.00
_cell_angle_beta 90.00
_cell_angle_gamma 90.00
_space_group_name_H-M_alt 'P m -3 m'
_space_group_IT_number 221
_space_group_name_Hall '-P 4 2 3'
loop_
_atom_site_label
_atom_site_type_symbol
_atom_site_fract_x
_atom_site_fract_y
_atom_site_fract_z
_atom_site_occupancy
V1 V 0.000 0.000 0.500 1
I1 I 0.000 0.000 0.000 1
Cl1 Cl 0.500 0.500 0.500 1
```

Properties
The total energy comes out at -4.697 eV per atom. The value obtained for the density is 3.5 Mg/m³. The energy relative to the elements, uncorrected is 1.454 eV/atom.

An optimized crystal structure of VICl3. Source: the Alexandria database, functional PBE-GGA.

CIF file:
```
data_VICl3
_cell_length_a 4.922
_cell_length_b 4.922
_cell_length_c 4.922
_cell_angle_alpha 90.00
_cell_angle_beta 90.00
_cell_angle_gamma 90.00
_space_group_name_H-M_alt 'P m -3 m'
_space_group_IT_number 221
_space_group_name_Hall '-P 4 2 3'
loop_
_atom_site_label
_atom_site_type_symbol
_atom_site_fract_x
_atom_site_fract_y
_atom_site_fract_z
_atom_site_occupancy
V1 V 0.000 0.000 0.000 1
I1 I 0.500 0.500 0.500 1
Cl1 Cl 0.000 0.000 0.500 1
```

Properties
The total energy comes out at -3.743 eV per atom. The value obtained for the density is 4.0 Mg/m³. The energy relative to the elements, uncorrected is -0.501 eV/atom.

Look up the energy relative to the elements, uncorrected of the first one.
1.454 eV/atom

density of number 1 (V3ICl)?
3.5 Mg/m³